Entry 1
# HPd

A relaxed structure of HPd (PBE-GGA, OQMD).

a b c (Å): 4.2176 4.2176 4.2176
angles (deg): 90.00 90.00 90.00
Last column: nearest neighbours and their distance in Å.
Space group F-43m (No. 216)
Inequivalent atoms, fractional coordinates:
H1 0.0000 0.0000 0.0000  4 Pd 1.83
Pd1 0.2500 0.2500 0.7500  4 H 1.83

Entry 2
# HPd

A relaxed structure of HPd (PBE-GGA, OQMD).

a b c (Å): 2.7474 2.7474 2.7335
angles (deg): 90.00 90.00 120.00
Last column: nearest neighbours and their distance in Å.
Space group P-6m2 (No. 187)
Inequivalent atoms, fractional coordinates:
H1 0.0000 0.0000 0.0000  6 Pd 2.09
Pd1 0.6667 0.3333 0.5000  6 H 2.09

Which is most stable? The ranking, best first, is entry 1, entry 2.

Entry 1
# TcH

A relaxed structure of TcH (PBE-GGA, OQMD).

a b c (Å): 4.0262 4.0262 4.0262
angles (deg): 90.00 90.00 90.00
Last column: nearest neighbours and their distance in Å.
Space group Fm-3m (No. 225)
Inequivalent atoms, fractional coordinates:
Tc1 0.0000 0.0000 0.0000  6 H 2.01
H1 0.0000 0.0000 0.5000  6 Tc 2.01

Values from the calculation:
magnetic moment: 0.00 μB/f.u.

Entry 2
# TcH

A relaxed structure of TcH (PBE-GGA, OQMD).

a b c (Å): 2.7223 2.7223 2.7680
angles (deg): 90.00 90.00 120.00
Last column: nearest neighbours and their distance in Å.
Space group P-6m2 (No. 187)
Inequivalent atoms, fractional coordinates:
Tc1 0.0000 0.0000 0.0000  6 H 2.09
H1 0.3333 0.6667 0.5000  6 Tc 2.09

Values from the calculation:
magnetic moment: 0.01 μB/f.u.

Entry 3
# TcH

A relaxed structure of TcH (PBE-GGA, OQMD).

a b c (Å): 4.1358 4.1358 4.1358
angles (deg): 90.00 90.00 90.00
Last column: nearest neighbours and their distance in Å.
Space group F-43m (No. 216)
Inequivalent atoms, fractional coordinates:
Tc1 0.0000 0.0000 0.0000  4 H 1.79
H1 0.2500 0.2500 0.2500  4 Tc 1.79

Values from the calculation:
magnetic moment: 0.00 μB/f.u.

Which is most stable? The ranking, best first, is entry 1, entry 3, entry 2.